# Na2TlPd5Pt2

A relaxed structure of Na2TlPd5Pt2 (GGA-PBE, Alexandria via LeMat-Bulk).

Unit cell a=9.3136 b=9.3136 c=4.2179 alpha=90.00 beta=90.00 gamma=90.00
Closest atoms and distances in Å follow each position.
Positions (direct):
Na (0.1734, 0.3266, 0.0000)  3 Pt 2.69-2.79
Na (0.3266, 0.8266, 0.0000)  3 Pt 2.69-2.79
Na (0.6734, 0.1734, 0.0000)  3 Pt 2.69-2.79
Na (0.8266, 0.6734, 0.0000)  3 Pt 2.69-2.79
Tl (0.0000, 0.0000, 0.0000)  8 Pd 2.91
Tl (0.5000, 0.5000, 0.0000)  8 Pd 2.91
Pd (0.0000, 0.5000, 0.5000)  4 Pt 2.65, 4 Pd 2.83
Pd (0.0691, 0.7963, 0.5000)  2 Pt 2.71, 4 Pd 2.83-2.99, 2 Tl 2.91
Pd (0.2037, 0.0691, 0.5000)  2 Pt 2.71, 4 Pd 2.83-2.99, 2 Tl 2.91
Pd (0.2963, 0.5691, 0.5000)  2 Pt 2.71, 4 Pd 2.83-2.99, 2 Tl 2.91
Pd (0.4309, 0.2963, 0.5000)  2 Pt 2.71, 4 Pd 2.83-2.99, 2 Tl 2.91
Pd (0.5000, 0.0000, 0.5000)  4 Pt 2.65, 4 Pd 2.83
Pd (0.5691, 0.7037, 0.5000)  2 Pt 2.71, 4 Pd 2.83-2.99, 2 Tl 2.91
Pd (0.7037, 0.4309, 0.5000)  2 Pt 2.71, 4 Pd 2.83-2.99, 2 Tl 2.91
Pd (0.7963, 0.9309, 0.5000)  2 Pt 2.71, 4 Pd 2.83-2.99, 2 Tl 2.91
Pd (0.9309, 0.2037, 0.5000)  2 Pt 2.71, 4 Pd 2.83-2.99, 2 Tl 2.91
Pt (0.1220, 0.6220, 0.0000)  6 Pd 2.65-2.71, 3 Na 2.69-2.79
Pt (0.3780, 0.1220, 0.0000)  6 Pd 2.65-2.71, 3 Na 2.69-2.79
Pt (0.6220, 0.8780, 0.0000)  6 Pd 2.65-2.71, 3 Na 2.69-2.79
Pt (0.8780, 0.3780, 0.0000)  6 Pd 2.65-2.71, 3 Na 2.69-2.79

Calculated values
space-group type = P4/mbm
magnetic moment = 0.000 μB per atom
energy of formation from the pure elements = -0.067 eV per atom
raw total energy = -4.3717 eV per atom
V = 18.3 A^3/atom